Entry 1:
This record from the Alexandria database describes an optimized crystal structure of TcOs2Cl. The functional is PBE.

a b c (Å): 3.5756 3.5756 4.9674
angles (deg): 90.00 90.00 90.00
Space group P4/mmm (No. 123)
Inequivalent atoms, fractional coordinates:
Tc 0.0000 0.0000 0.0000 [1 per cell]
Os 0.0000 0.5000 0.5000 [2 per cell]
Cl 0.5000 0.5000 0.0000 [1 per cell]

Polymorph energy (0 for the lowest one), meV/atom: 1057.9
Raw formation energy, kJ per mole of atoms: 145

=====

Entry 2:
This record from the Alexandria database describes an optimized crystal structure of ZrI3Br. The functional is PBE.

a b c (Å): 8.3290 9.8678 10.8339
angles (deg): 90.00 90.00 90.00
Space group Immm (No. 71)
Inequivalent atoms, fractional coordinates:
Zr 0.0000 0.0000 0.0000 [2 per cell]
Zr 0.0000 0.5000 0.5000 [2 per cell]
I 0.0000 0.2181 0.5000 [4 per cell]
I 0.2498 0.0000 0.1926 [8 per cell]
Br 0.0000 0.2592 0.0000 [4 per cell]

Polymorph energy (0 for the lowest one), meV/atom: 0.0
Raw formation energy, kJ per mole of atoms: -93

=====

Entry 3:
This record from the Alexandria database describes an optimized crystal structure of ScAgTe2Br. The functional is PBE.

a b c (Å): 5.2950 5.2950 5.6740
angles (deg): 90.00 90.00 90.00
Space group P4/mmm (No. 123)
Inequivalent atoms, fractional coordinates:
Sc 0.0000 0.0000 0.0000 [1 per cell]
Ag 0.0000 0.0000 0.5000 [1 per cell]
Te 0.0000 0.5000 0.5000 [2 per cell]
Br 0.5000 0.5000 0.0000 [1 per cell]

Raw formation energy, kJ per mole of atoms: 20

=====

Entry 4:
This record from the Alexandria database describes an optimized crystal structure of Al2AsSe. The functional is PBE.

a b c (Å): 3.8586 3.8586 22.1318
angles (deg): 90.00 90.00 120.00
Space group R3m (No. 160, hexagonal axes)
Inequivalent atoms, fractional coordinates:
Al 0.0000 0.0000 0.0000 [3 per cell]
Al 0.0000 0.0000 0.2331 [3 per cell]
As 0.0000 0.0000 0.5268 [3 per cell]
Se 0.0000 0.0000 0.7209 [3 per cell]

Polymorph energy (0 for the lowest one), meV/atom: 223.5
Raw formation energy, kJ per mole of atoms: -17

=====

Entry 5:
This record from the Alexandria database describes an optimized crystal structure of BaBe2W. The functional is PBE.

a b c (Å): 2.9204 2.9204 8.1833
angles (deg): 90.00 90.00 90.00
Space group P4mm (No. 99)
Inequivalent atoms, fractional coordinates:
Ba 0.0000 0.0000 0.0000 [1 per cell]
Be 0.0000 0.0000 0.4399 [1 per cell]
Be 0.5000 0.5000 0.3256 [1 per cell]
W 0.5000 0.5000 0.6349 [1 per cell]

ΔH_f (0 K), eV/atom: 0.823
Polymorph energy (0 for the lowest one), meV/atom: 277.0

=====

Entry 6:
This record from the Alexandria database describes an optimized crystal structure of CsTc3Bi. The functional is PBE.

a b c (Å): 5.0234 5.0234 5.0234
angles (deg): 90.00 90.00 90.00
Space group Pm-3m (No. 221)
Inequivalent atoms, fractional coordinates:
Cs 0.0000 0.0000 0.0000 [1 per cell]
Tc 0.0000 0.0000 0.5000 [3 per cell]
Bi 0.5000 0.5000 0.5000 [1 per cell]

ΔH_f (0 K), eV/atom: 2.864
Polymorph energy (0 for the lowest one), meV/atom: 731.4